An optimized crystal structure of Sr2SbPd. Source: the Alexandria database, functional GGA-PBE.

abc: 5.454 5.454 3.992
angles: 90.00 90.00 90.00
Positions (direct):
Sr 0.000 0.500 0.000
Sr 0.500 0.000 0.000
Sb 0.000 0.000 0.500
Pd 0.500 0.500 0.500

Values from the calculation:
V ... 118.78 Å³ per cell
E_tot ... -3.85 eV/atom
Calculated density ... 5.6 Mg/m³
Size of the total moment ... 0.000 Bohr magnetons per cell